# 1
The following is a DFT calculation (PBE) of a relaxed structure of MnAg2Ir.

As for the symmetry: R-3m, No. 166. The value obtained for the density is 12.0 Mg/m³. Its raw total energy is -5.557 eV/atom.

```
4
Lattice="-0.126 -8.994 3.475 1.807 -9.353 1.502 2.541 -8.393 4.011" Properties=species:S:1:pos:R:3 pbc="T T T"
Ag 2.104 -13.326 4.479
Ir 1.055 -6.685 2.247
Ag 0.007 -0.044 0.015
Mn 3.166 -20.055 6.741
```

# 2
The following is a DFT calculation (PBE) of a relaxed structure of NaCaV.

As for the symmetry: Pnma, No. 62. The value obtained for the density is 2.2 Mg/m³. Its raw total energy is -3.612 eV/atom.

```
12
Lattice="-0.754 -3.587 1.021 4.322 0.012 3.238 -9.614 5.666 12.810" Properties=species:S:1:pos:R:3 pbc="T T T"
V -4.277 1.396 12.459
Na -6.527 2.755 15.457
Na -3.886 -0.107 7.439
Ca 1.475 0.071 4.787
Ca -0.542 -0.757 7.482
V -4.422 3.497 12.645
Na -2.159 2.197 9.630
Ca -5.504 2.848 9.587
Na 0.481 -0.665 1.612
V -1.623 -1.407 4.424
Ca -7.520 2.020 12.282
V -1.769 0.695 4.610
```

# 3
The following is a DFT calculation (PBE) of a relaxed structure of ZrZnFe2.

As for the symmetry: P4mm, No. 99. The value obtained for the density is 7.4 Mg/m³. Its raw total energy is -6.734 eV/atom.

```
4
Lattice="3.038 0.000 0.000 0.000 3.019 0.351 0.000 2.272 6.788" Properties=species:S:1:pos:R:3 pbc="T T T"
Fe 0.000 2.988 0.618
Zn 0.000 2.681 3.270
Zr 1.519 3.951 5.492
Fe 1.519 1.336 1.679
```

The lowest raw total energy belongs to which entry?
ZrZnFe2